The following is a PBE with a Hubbard U calculation of a geometry-optimized GeMoF5 structure, from Alexandria.

Magnetization ... 12.0 Bohr magnetons per cell
Final energy ... -0.197 Ha/atom
V ... 16.62 Å³/atom
Density of states at the Fermi level ... 0.00 states/eV/f.u.

a b c (Å): 8.3797 7.3408 7.9452
angles (deg): 90.00 107.75 90.00
With the nearest neighbours (Å) after each atom.
Space group C2/c (No. 15)
Symmetry-distinct sites (fractional):
Ge  0.0000  0.0399  0.2500  4 F 1.98-2.14
Mo  0.0000  0.5000  0.0000  6 F 2.08-2.14
F  0.0000  0.4032  0.7500  2 Mo 2.11
F  0.0615  0.2334  0.1076  1 Ge 1.98, 1 Mo 2.14
F  0.2460  0.0621  0.4339  1 Mo 2.08, 1 Ge 2.14